Arrangement P

A relaxed Ni2OsBr crystal, computed with GGA-PBE.

Structure (CIF):
```
data_Ni2OsBr
_symmetry_space_group_name_H-M 'I -4 2 d'
_symmetry_Int_Tables_number 122
_symmetry_space_group_name_Hall 'I -4 2bw'
_cell_length_a 6.010
_cell_length_b 6.010
_cell_length_c 8.350
_cell_angle_alpha 90.00
_cell_angle_beta 90.00
_cell_angle_gamma 90.00
loop_
_atom_site_label
_atom_site_type_symbol
_atom_site_fract_x
_atom_site_fract_y
_atom_site_fract_z
Ni1 Ni 0.231 0.250 0.125
Os1 Os 0.000 0.000 0.000
Br1 Br 0.000 0.000 0.500
```

Arrangement Q

A relaxed Ni2OsBr crystal, computed with GGA-PBE.

Structure (CIF):
```
data_Ni2OsBr
_symmetry_space_group_name_H-M 'I m m m'
_symmetry_Int_Tables_number 71
_symmetry_space_group_name_Hall '-I 2 2'
_cell_length_a 2.850
_cell_length_b 4.571
_cell_length_c 8.609
_cell_angle_alpha 90.00
_cell_angle_beta 90.00
_cell_angle_gamma 90.00
loop_
_atom_site_label
_atom_site_type_symbol
_atom_site_fract_x
_atom_site_fract_y
_atom_site_fract_z
Ni1 Ni 0.000 0.000 0.247
Os1 Os 0.000 0.500 0.000
Br1 Br 0.000 0.500 0.500
```

Which one is the most stable? From the structures above, arrangement Q.